# 1
Li3Pt2Rh | PBE-GGA | relaxed

Geometry as extended XYZ:
```
6
Lattice="-0.6635 2.5136 0.8699 -6.1101 1.5405 1.9023 0.3518 -2.4742 5.0431" Properties=species:S:1:pos:R:3 pbc="T T T"
Li -0.6718 2.5080 0.8798
Li -2.4787 1.3801 4.8707
Li -4.6183 2.7055 3.8285
Pt -3.0424 2.3232 1.8539
Pt -0.8410 0.9742 2.9345
Rh -4.8231 1.1804 5.8695
```

Output
Total magnetization: 0.0 μB per formula unit
Energy of formation from the pure elements: -460 meV per atom

=====

# 2
Li3U3FeN8 | PBE-GGA | relaxed

Geometry as extended XYZ:
```
15
Lattice="-3.7038 5.5472 1.6525 -0.9837 -3.1895 -5.7854 -1.3511 -2.6052 5.7170" Properties=species:S:1:pos:R:3 pbc="T T T"
Li -2.3437 1.1788 -2.0665
Li -0.4918 -1.5948 -2.8927
Li 0.0000 0.0000 0.0000
N -3.8639 1.7267 -0.1689
N -2.7902 -3.5801 -1.1554
N -3.2485 3.3326 2.7394
N -1.4546 0.6460 1.9391
N -1.8593 -0.9541 -0.9645
N -4.5840 -0.8935 -0.3550
N -2.1747 -1.9742 1.7530
N -4.1793 0.7066 2.5486
Fe -0.6756 -1.3026 2.8585
U -3.0193 -0.1238 0.7920
U -2.5275 1.4710 3.6848
U -1.1674 -2.8974 -0.0342
```

Output
Total magnetization: 3.4 μB per formula unit
Raw formation energy: -0.766 eV per atom

=====

# 3
Ga3CoPb | PBE-GGA | relaxed

Geometry as extended XYZ:
```
5
Lattice="-3.7183 -2.7839 0.3065 2.7988 -3.6740 0.5820 -0.1062 0.6491 4.6084" Properties=species:S:1:pos:R:3 pbc="T T T"
Pb -0.5128 -2.9044 2.7484
Co 0.0000 0.0000 0.0000
Ga -0.0531 0.3246 2.3042
Ga 1.3994 -1.8370 0.2910
Ga -1.8591 -1.3920 0.1532
```

Output
Total magnetization: 0.0 μB per formula unit
Energy of formation from the pure elements: 1 meV per atom

=====

# 4
LiNbAsN2 | PBE-GGA | relaxed

Geometry as extended XYZ:
```
5
Lattice="3.7080 0.0000 0.0000 0.0000 4.4949 0.0000 0.0000 0.0000 3.7080" Properties=species:S:1:pos:R:3 pbc="T T T"
Li 0.0000 0.0000 0.0000
N 0.0000 0.0000 1.8540
N 1.8540 0.0000 0.0000
Nb 0.0000 2.2474 0.0000
As 1.8540 2.2474 1.8540
```

Output
Total magnetization: 0.2 μB per formula unit
Raw formation energy: 1.439 eV per atom

=====

# 5
CsBaI | PBE-GGA | relaxed

Geometry as extended XYZ:
```
3
Lattice="4.4662 0.0000 0.0000 0.0000 4.4662 0.0000 -2.2331 -2.2331 8.7926" Properties=species:S:1:pos:R:3 pbc="T T T"
Ba 2.2331 2.2331 3.5871
I 0.0000 0.0000 5.6402
Cs 2.2331 2.2331 8.3579
```

Output
Energy above the most stable polymorph in this dataset: 43 meV/atom
Total magnetization: 0.3 μB per formula unit
Raw formation energy: -0.797 eV per atom

=====

# 6
SmYTlGe | PBE-GGA | relaxed

Geometry as extended XYZ:
```
4
Lattice="5.2726 0.0000 0.0000 2.6363 4.5662 0.0000 2.6363 1.5221 4.3051" Properties=species:S:1:pos:R:3 pbc="T T T"
Sm 5.2726 3.0441 2.1525
Tl 7.9089 4.5662 3.2288
Ge 2.6363 1.5221 1.0763
Y 0.0000 0.0000 0.0000
```

Output
Total magnetization: 0.0 μB per formula unit
Energy of formation from the pure elements: -450 meV per atom

=====

# 7
Tl2TcBi | PBE-GGA | relaxed

Geometry as extended XYZ:
```
8
Lattice="4.3100 0.0000 0.0000 0.0000 4.3100 0.0000 2.1550 2.1550 11.2717" Properties=species:S:1:pos:R:3 pbc="T T T"
Tc 2.1550 4.3100 5.6359
Tc 2.1550 2.1550 0.0000
Tl 5.3874 5.3280 8.4538
Tl 3.2325 3.2919 8.4538
Tl 3.1730 1.0775 2.8179
Tl 1.1369 3.2325 2.8179
Bi 0.0000 0.0000 0.0000
Bi 4.3100 2.1550 5.6359
```

Output
Energy above the most stable polymorph in this dataset: 0 meV/atom
Total magnetization: 2.3 μB per formula unit
Energy of formation from the pure elements: 752 meV per atom

=====

# 8
Y5Ho4In2 | PBE-GGA | relaxed

Geometry as extended XYZ:
```
11
Lattice="-0.7328 -2.7567 2.0145 -5.5629 -2.5836 -5.5589 13.4796 -2.4593 -1.4890" Properties=species:S:1:pos:R:3 pbc="T T T"
Y 7.3248 -4.1396 0.0263
Y -0.1408 -3.6600 -5.0597
Y -0.3664 -1.3784 1.0073
Y 2.0761 -1.5678 -1.3902
Y 5.1079 -6.2318 -3.6431
In 7.9846 -4.5166 -3.2763
In -0.8007 -3.2830 -1.7570
Ho 10.2479 -5.6317 -0.9522
Ho -3.0639 -2.1680 -4.0811
Ho 5.0437 -3.0247 -2.3045
Ho 2.1402 -4.7749 -2.7289
```

Output
Total magnetization: 0.0 μB per formula unit
Energy of formation from the pure elements: -44 meV per atom

=====

# 9
Ho2GeBi | PBE-GGA | relaxed

Geometry as extended XYZ:
```
4
Lattice="4.1658 0.0000 0.0000 2.0829 3.6077 0.0000 2.0829 1.2026 7.4421" Properties=species:S:1:pos:R:3 pbc="T T T"
Ho 2.0829 1.2026 1.6277
Ho 6.2487 3.6077 5.8144
Bi 4.1658 2.4051 3.7211
Ge 0.0000 0.0000 0.0000
```

Output
Energy above the most stable polymorph in this dataset: 18 meV/atom
Total magnetization: 0.0 μB per formula unit
Energy of formation from the pure elements: -751 meV per atom

=====

# 10
Dy4GaTe2Pb | PBE-GGA | relaxed

Geometry as extended XYZ:
```
8
Lattice="4.2597 0.0000 0.0000 0.0000 7.3540 0.1185 0.0000 -2.5866 7.3666" Properties=species:S:1:pos:R:3 pbc="T T T"
Pb 0.0000 0.0000 0.0000
Dy 0.0000 -0.0378 5.6566
Dy 2.1299 3.5045 5.6800
Dy 2.1299 1.2628 1.8051
Dy 0.0000 4.8051 1.8285
Te 0.0000 2.3837 3.7426
Te 2.1299 -1.2933 3.6833
Ga 2.1299 3.6770 0.0592
```

Output
Total magnetization: 0.0 μB per formula unit
Raw formation energy: -0.912 eV per atom

=====

# 11
SrThPtAu | PBE-GGA | relaxed

Geometry as extended XYZ:
```
4
Lattice="5.2240 0.0000 0.0000 2.6120 4.5241 0.0000 2.6120 1.5080 4.2654" Properties=species:S:1:pos:R:3 pbc="T T T"
Sr 0.0000 0.0000 0.0000
Th 5.2240 3.0161 2.1327
Pt 7.8360 4.5241 3.1990
Au 2.6120 1.5080 1.0663
```

Output
Total magnetization: 0.0 μB per formula unit
Energy of formation from the pure elements: -733 meV per atom

=====

# 12
RbCuAsO4 | PBE-GGA | relaxed

Geometry as extended XYZ:
```
7
Lattice="5.9916 0.0000 0.0000 0.0000 5.9916 0.0000 -2.9958 -2.9958 3.5038" Properties=species:S:1:pos:R:3 pbc="T T T"
O 0.6238 1.6785 2.6873
O 4.6742 2.3720 0.8165
O -0.6238 -1.6785 2.6873
O 1.3173 3.6195 0.8165
Rb 0.0000 0.0000 0.0000
Cu 2.9958 2.9958 0.0000
As 0.0000 2.9958 1.7519
```

Output
Total magnetization: 1.0 μB per formula unit
Raw formation energy: -1.160 eV per atom

=====

# 13
ZrTcNi2 | PBE-GGA | relaxed

Geometry as extended XYZ:
```
4
Lattice="-2.3642 -1.3513 -0.8388 1.5634 -1.6974 -1.6714 0.7324 -4.6172 5.3742" Properties=species:S:1:pos:R:3 pbc="T T T"
Ni 0.0267 -0.1686 0.1963
Ni -0.2268 -2.6188 0.0188
Tc 0.3308 -2.0855 2.4274
Zr 0.1671 -5.1016 2.9087
```

Output
Energy above the most stable polymorph in this dataset: 258 meV/atom
Total magnetization: 0.0 μB per formula unit
Energy of formation from the pure elements: -6 meV per atom

=====

# 14
Tl5SbTe5 | PBE-GGA | relaxed

Geometry as extended XYZ:
```
11
Lattice="-2.8254 -5.5927 -0.8224 8.0459 -0.5561 0.4201 -3.3667 0.3764 9.0073" Properties=species:S:1:pos:R:3 pbc="T T T"
Tl -0.0506 -3.8975 2.3977
Tl 3.8016 -2.1117 1.3002
Tl -1.6833 0.1882 4.5036
Tl 1.9044 -1.8749 6.2073
Tl -1.9477 -3.6607 7.3049
Te 2.6670 -5.0687 1.0254
Te 1.0453 -0.9409 2.8074
Te -1.4127 -2.7963 -0.4112
Te 0.8086 -4.8315 5.7976
Te -0.8132 -0.7037 7.5796
Sb 0.0000 0.0000 0.0000
```

Output
Total magnetization: 0.0 μB per formula unit
Raw formation energy: -0.169 eV per atom

=====

# 15
BSe3Br | PBE-GGA | relaxed

Geometry as extended XYZ:
```
5
Lattice="4.5798 0.0000 0.0000 0.0000 4.5798 0.0000 0.0000 0.0000 4.5798" Properties=species:S:1:pos:R:3 pbc="T T T"
Se 0.0000 2.2899 0.0000
Se 2.2899 0.0000 0.0000
Se 0.0000 0.0000 2.2899
Br 2.2899 2.2899 2.2899
B 0.0000 0.0000 0.0000
```

Output
Energy above the most stable polymorph in this dataset: 752 meV/atom
Total magnetization: 0.0 μB per formula unit
Raw formation energy: 0.805 eV per atom

=====

# 16
Ac7BiPb5 | PBE-GGA | relaxed

Geometry as extended XYZ:
```
13
Lattice="-0.3793 -2.7624 6.2357 6.4051 -6.5146 1.2449 4.9469 4.7636 6.1524" Properties=species:S:1:pos:R:3 pbc="T T T"
Pb 8.5618 -5.5854 7.3728
Pb 7.9361 -3.4104 10.1957
Pb 8.7487 -4.2240 4.2996
Pb 8.0016 1.5540 6.8138
Pb 7.8147 0.1926 9.8870
Bi 0.2131 -2.7113 6.2944
Ac 8.6021 -1.9881 7.1250
Ac 2.3672 -1.1608 3.3710
Ac 3.7845 -2.4034 6.6480
Ac 5.8869 -2.8521 2.8359
Ac 4.6435 1.5290 8.4423
Ac 5.3768 1.0935 4.5527
Ac 5.6303 -6.1026 5.1216
```

Output
Total magnetization: 0.0 μB per formula unit
Energy of formation from the pure elements: -393 meV per atom

=====

# 17
Tl2WSe4 | PBE-GGA | relaxed

Geometry as extended XYZ:
```
28
Lattice="-3.1069 -0.9207 6.5080 0.9911 -10.0740 -0.9521 11.5359 0.6064 5.5928" Properties=species:S:1:pos:R:3 pbc="T T T"
Tl 8.2518 -3.9655 9.4694
Tl 6.9216 -4.3396 4.7207
Tl 10.2079 -9.2300 5.5977
Tl -0.7878 -1.1584 5.5511
Tl 2.4985 -6.0487 6.4281
Tl 3.7829 -1.2224 3.6633
Tl 1.1683 -6.4229 1.6794
Tl 5.6372 -9.1660 7.4854
Se -1.4367 -4.4970 6.7280
Se 9.3580 -6.3356 7.5604
Se 5.1445 -5.0552 7.8318
Se -0.0701 -8.1207 4.9088
Se 7.2602 -7.4480 4.4426
Se 2.1599 -2.9404 6.7062
Se 10.8568 -5.8914 4.4207
Se 2.2596 -9.3658 7.8038
Se 3.7585 -8.9216 4.6641
Se 4.2756 -5.3332 3.3170
Se 7.1605 -1.0226 3.3450
Se 0.0621 -4.0528 3.5883
Se 0.4942 -0.4688 2.2000
Se 9.4902 -2.2677 6.2400
Se 8.9259 -9.9195 8.9488
Se 5.6616 -1.4668 6.4847
W 4.2647 -2.8652 7.7216
W 5.1554 -7.5231 3.4272
W 9.3679 -7.6601 9.4795
W 0.0522 -2.7283 1.6693
```

Output
Total magnetization: 0.0 μB per formula unit
Raw formation energy: -0.393 eV per atom

=====

# 18
Hf2NbCu | PBE-GGA | relaxed

Geometry as extended XYZ:
```
4
Lattice="3.7439 -0.2156 2.8373 0.3285 2.9040 3.6841 -0.4537 -1.6824 4.3678" Properties=species:S:1:pos:R:3 pbc="T T T"
Nb 1.8094 0.5030 5.4446
Cu 0.0000 0.0000 0.0000
Hf 0.9047 0.2515 2.7223
Hf 2.7141 0.7545 8.1669
```

Output
Energy above the most stable polymorph in this dataset: 72 meV/atom
Total magnetization: 0.0 μB per formula unit
Energy of formation from the pure elements: 25 meV per atom

=====

# 19
Sr2Cd2Au | PBE-GGA | relaxed

Geometry as extended XYZ:
```
5
Lattice="-2.1932 -2.8631 -5.2956 5.5928 1.1162 -2.9197 3.1180 -4.4530 -2.7597" Properties=species:S:1:pos:R:3 pbc="T T T"
Sr 1.3123 -4.0947 -6.0814
Sr 5.2053 -2.1051 -4.8935
Au 0.0000 0.0000 0.0000
Cd 2.1645 -2.0464 -3.6659
Cd 4.3530 -4.1534 -7.3090
```

Output
Energy above the most stable polymorph in this dataset: 271 meV/atom
Total magnetization: 0.0 μB per formula unit
Energy of formation from the pure elements: -200 meV per atom

=====

# 20
Mn2FeSi | PBE-GGA | relaxed

Geometry as extended XYZ:
```
4
Lattice="-0.0447 -0.9945 2.3689 2.5668 0.0857 0.0845 -0.2952 6.2580 2.6215" Properties=species:S:1:pos:R:3 pbc="T T T"
Si 1.1872 1.1101 1.8821
Fe 1.0396 4.2391 3.1929
Mn -0.1463 3.1021 1.2995
Mn -0.0013 0.0268 0.0112
```

Output
Total magnetization: 1.8 μB per formula unit
Raw formation energy: -0.147 eV per atom